Record 1
LiDyHg2 | PBE | relaxed

```
LiDyHg2
1.0
-2.217 -0.668 2.602
-2.557 -0.510 -2.310
1.721 -7.058 -0.346
Li Hg Dy
1 2 1
direct
0.500 0.500 0.000 Li
0.000 0.000 0.780 Hg
0.000 0.000 0.220 Hg
0.500 0.500 0.500 Dy
```

Output
**ΔE_f**: -38 kJ per mole of atoms
**Total magnetic moment**: 0.07 μB per atom



Record 2
Li2DyHg8 | PBE | relaxed

```
Li2DyHg8
1.0
-3.564 -2.465 -1.991
3.818 -6.607 1.345
-3.176 4.012 6.430
Li Dy Hg
2 1 8
direct
0.206 0.705 0.411 Li
0.794 0.295 0.589 Li
0.500 0.000 0.000 Dy
0.651 0.448 0.302 Hg
0.348 0.145 0.697 Hg
0.159 0.160 0.318 Hg
0.001 0.692 0.001 Hg
0.841 0.840 0.682 Hg
0.652 0.855 0.303 Hg
0.349 0.552 0.698 Hg
0.999 0.308 0.999 Hg
```

Output
**ΔE_f**: -24 kJ per mole of atoms
**Total magnetic moment**: 0.00 μB per atom



Record 3
LiDy4Hg2 | PBE | relaxed

```
LiDy4Hg2
1.0
-3.130 3.053 2.755
-4.345 -1.918 2.036
1.811 -1.717 8.807
Li Dy Hg
1 4 2
direct
0.000 0.000 0.000 Li
0.374 0.374 0.879 Dy
0.214 0.214 0.358 Dy
0.786 0.786 0.642 Dy
0.626 0.626 0.121 Dy
0.095 0.095 0.714 Hg
0.905 0.905 0.286 Hg
```

Output
**ΔE_f**: -7 kJ per mole of atoms
**Total magnetic moment**: 0.00 μB per atom



Record 4
LiDyHg3 | PBE | relaxed

```
LiDyHg3
1.0
5.416 0.000 0.000
0.000 6.889 -0.001
0.000 -3.443 5.966
Li Dy Hg
2 2 6
direct
0.000 0.000 0.000 Li
0.500 0.000 0.000 Li
0.250 0.333 0.667 Dy
0.750 0.667 0.333 Dy
0.250 0.813 0.187 Hg
0.750 0.187 0.813 Hg
0.250 0.812 0.626 Hg
0.750 0.188 0.374 Hg
0.250 0.374 0.188 Hg
0.750 0.626 0.812 Hg
```

Output
**ΔE_f**: -27 kJ per mole of atoms
**Total magnetic moment**: 0.00 μB per atom